[1]
Computed, not measured: crystalline AgPt3Rh at its relaxed geometry at the PBE level of DFT.

Results
As for the formation energy from the elements: 0.0446 eV per atom. The calculation puts the excess energy over the best structure of this formula in the dataset at 0.0 meV/atom. The total energy is -5.62 eV/atom. The total magnetic moment is 0.00 μB per cell. The crystal system is triclinic. Its symmetry is P-1 (2).

The structure in CIF format:
```
data_AgPt3Rh
_chemical_formula_sum 'Ag2 Pt6 Rh2'
_cell_length_a 2.766
_cell_length_b 9.159
_cell_length_c 8.998
_cell_angle_alpha 45.66
_cell_angle_beta 90.09
_cell_angle_gamma 81.45
_symmetry_space_group_name_H-M 'P 1'
_symmetry_Int_Tables_number 1
_symmetry_space_group_name_Hall 'P 1'
loop_
_atom_site_label
_atom_site_fract_x
_atom_site_fract_y
_atom_site_fract_z
Pt1 0.030 0.061 0.948
Pt2 0.284 0.558 0.944
Pt3 0.378 0.366 0.576
Pt4 0.486 0.157 0.147
Pt5 0.231 0.660 0.152
Pt6 0.137 0.852 0.519
Rh1 0.831 0.464 0.764
Rh2 0.685 0.754 0.332
Ag1 0.588 0.948 0.744
Ag2 0.927 0.269 0.351
```

***

[2]
Computed, not measured: crystalline Ba2Na2As at its relaxed geometry at the PBE level of DFT.

Results
As for the formation energy from the elements: -0.3933 eV per atom. The calculation puts the excess energy over the best structure of this formula in the dataset at 0.0 meV/atom. The total energy is -2.62 eV/atom. The total magnetic moment is 0.00 μB per cell. The crystal system is tetragonal. Its symmetry is I4/mmm (139).

The structure in CIF format:
```
data_Ba2Na2As
_chemical_formula_sum 'Ba2 Na2 As1'
_cell_length_a 4.259
_cell_length_b 4.259
_cell_length_c 11.575
_cell_angle_alpha 79.40
_cell_angle_beta 79.40
_cell_angle_gamma 90.00
_symmetry_space_group_name_H-M 'P 1'
_symmetry_Int_Tables_number 1
_symmetry_space_group_name_Hall 'P 1'
loop_
_atom_site_label
_atom_site_fract_x
_atom_site_fract_y
_atom_site_fract_z
Ba1 0.423 0.423 0.154
Ba2 0.577 0.577 0.846
Na1 0.750 0.250 0.500
Na2 0.250 0.750 0.500
As1 0.000 0.000 0.000
```

***

[3]
Computed, not measured: crystalline Ba2In3Ge at its relaxed geometry at the PBE level of DFT.

Results
As for the formation energy from the elements: -0.4413 eV per atom. The calculation puts the excess energy over the best structure of this formula in the dataset at 0.0 meV/atom. The total energy is -3.22 eV/atom. The total magnetic moment is 0.00 μB per cell. The crystal system is orthorhombic. Its symmetry is Pmm2 (25).

The structure in CIF format:
```
data_Ba2In3Ge
_chemical_formula_sum 'Ba2 In3 Ge1'
_cell_length_a 5.142
_cell_length_b 4.850
_cell_length_c 8.308
_cell_angle_alpha 90.00
_cell_angle_beta 90.00
_cell_angle_gamma 90.00
_symmetry_space_group_name_H-M 'P 1'
_symmetry_Int_Tables_number 1
_symmetry_space_group_name_Hall 'P 1'
loop_
_atom_site_label
_atom_site_fract_x
_atom_site_fract_y
_atom_site_fract_z
In1 0.500 0.000 0.172
In2 0.500 0.000 0.830
In3 0.500 0.500 0.660
Ba1 0.000 0.500 0.011
Ba2 0.000 0.000 0.492
Ge1 0.500 0.500 0.335
```

***

[4]
Computed, not measured: crystalline OsPtC2 at its relaxed geometry at the PBE level of DFT.

Results
As for the formation energy from the elements: 0.6916 eV per atom. The calculation puts the excess energy over the best structure of this formula in the dataset at 0.0 meV/atom. The total energy is -8.24 eV/atom. The total magnetic moment is 0.00 μB per cell. The crystal system is tetragonal. Its symmetry is I-42d (122).

The structure in CIF format:
```
data_OsPtC2
_chemical_formula_sum 'Os2 Pt2 C4'
_cell_length_a 4.669
_cell_length_b 4.669
_cell_length_c 5.728
_cell_angle_alpha 65.95
_cell_angle_beta 65.95
_cell_angle_gamma 90.00
_symmetry_space_group_name_H-M 'P 1'
_symmetry_Int_Tables_number 1
_symmetry_space_group_name_Hall 'P 1'
loop_
_atom_site_label
_atom_site_fract_x
_atom_site_fract_y
_atom_site_fract_z
C1 0.875 0.853 0.750
C2 0.375 0.397 0.750
C3 0.147 0.625 0.250
C4 0.603 0.125 0.250
Os1 0.500 0.500 0.000
Os2 0.250 0.750 0.500
Pt1 0.750 0.250 0.500
Pt2 0.000 0.000 0.000
```

***

[5]
Computed, not measured: crystalline Sm3ErIn4 at its relaxed geometry at the PBE level of DFT.

Results
As for the formation energy from the elements: -0.3104 eV per atom. The calculation puts the excess energy over the best structure of this formula in the dataset at 170.6 meV/atom. The total energy is -4.02 eV/atom. The total magnetic moment is 0.00 μB per cell. The crystal system is orthorhombic. Its symmetry is Immm (71).

The structure in CIF format:
```
data_Sm3ErIn4
_chemical_formula_sum 'Sm3 Er1 In4'
_cell_length_a 3.511
_cell_length_b 6.964
_cell_length_c 10.476
_cell_angle_alpha 109.43
_cell_angle_beta 99.65
_cell_angle_gamma 90.00
_symmetry_space_group_name_H-M 'P 1'
_symmetry_Int_Tables_number 1
_symmetry_space_group_name_Hall 'P 1'
loop_
_atom_site_label
_atom_site_fract_x
_atom_site_fract_y
_atom_site_fract_z
In1 0.625 0.405 0.250
In2 0.375 0.595 0.750
In3 0.625 0.846 0.251
In4 0.375 0.154 0.749
Sm1 0.224 0.224 0.448
Sm2 0.776 0.776 0.552
Sm3 0.000 0.500 0.000
Er1 0.500 0.000 0.000
```

***

[6]
Computed, not measured: crystalline Cr2ReTc at its relaxed geometry at the PBE level of DFT.

Results
As for the formation energy from the elements: 0.2423 eV per atom. The total energy is -10.27 eV/atom. The total magnetic moment is 0.00 μB per cell. The crystal system is trigonal. Its symmetry is R-3m (166).

The structure in CIF format:
```
data_Cr2ReTc
_chemical_formula_sum 'Cr2 Re1 Tc1'
_cell_length_a 8.718
_cell_length_b 8.718
_cell_length_c 8.718
_cell_angle_alpha 17.81
_cell_angle_beta 17.81
_cell_angle_gamma 17.81
_symmetry_space_group_name_H-M 'P 1'
_symmetry_Int_Tables_number 1
_symmetry_space_group_name_Hall 'P 1'
loop_
_atom_site_label
_atom_site_fract_x
_atom_site_fract_y
_atom_site_fract_z
Tc1 0.750 0.750 0.750
Cr1 0.001 0.001 0.001
Cr2 0.499 0.499 0.499
Re1 0.250 0.250 0.250
```